[1]
Entry from Alexandria: an optimized crystal structure of Tb8Nd6Sc (PBE).

Cell lengths 9.130, 9.130, 8.704 Å; angles 58.37, 58.37, 60.00 degrees
Fractional positions:
Tb  0.719  0.112  0.418
Tb  0.112  0.752  0.418
Tb  0.423  0.423  0.732
Tb  0.888  0.248  0.582
Tb  0.752  0.719  0.418
Tb  0.248  0.281  0.582
Tb  0.577  0.577  0.268
Tb  0.281  0.888  0.582
Sc  0.000  0.000  0.000
Nd  0.458  0.899  0.872
Nd  0.229  0.542  0.128
Nd  0.771  0.458  0.872
Nd  0.899  0.771  0.872
Nd  0.101  0.229  0.128
Nd  0.542  0.101  0.128

DOS(E_F) ... 1.4455 states/eV per atom
Electronic total energy ... -4.6858 eV/atom
ΔE_f ... 1.69 eV per formula unit
Total magnetization ... 0.00 Bohr magnetons per cell
Theoretical density ... 7.25 g/cm³

---

[2]
Entry from Alexandria: an optimized crystal structure of NdPdSe2 (PBE).

Cell lengths 3.826, 3.826, 8.748 Å; angles 77.37, 77.37, 60.00 degrees
Fractional positions:
Nd  0.000  0.000  0.000
Pd  0.500  0.500  0.500
Se  0.114  0.114  0.658
Se  0.886  0.886  0.342

DOS(E_F) ... 0.8321 states/eV per atom
Electronic total energy ... -4.6106 eV/atom
Total magnetization ... 0.00 Bohr magnetons per cell
Uncorrected formation energy ... -0.378 eV per atom
Theoretical density ... 6.32 g/cm³

---

[3]
Entry from Alexandria: an optimized crystal structure of AcTbAl3 (PBE).

Cell lengths 4.415, 4.565, 13.620 Å; angles 99.65, 90.00, 90.00 degrees
Fractional positions:
Al  0.750  0.322  0.644
Al  0.750  0.525  0.049
Al  0.250  0.678  0.356
Al  0.250  0.377  0.753
Al  0.250  0.475  0.951
Al  0.750  0.623  0.247
Ac  0.250  0.075  0.151
Ac  0.750  0.925  0.849
Tb  0.750  0.205  0.409
Tb  0.250  0.795  0.591

DOS(E_F) ... 0.8158 states/eV per atom
Electronic total energy ... -4.3687 eV/atom
ΔE_f ... -1.88 eV per formula unit
Total magnetization ... 0.00 Bohr magnetons per cell
Theoretical density ... 5.73 g/cm³

---

[4]
Entry from Alexandria: an optimized crystal structure of RePOs2 (PBE).

Cell lengths 8.356, 8.356, 8.356 Å; angles 19.31, 19.31, 19.31 degrees
Fractional positions:
Os  0.243  0.243  0.243
Os  0.757  0.757  0.757
Re  0.000  0.000  0.000
P  0.500  0.500  0.500

DOS(E_F) ... 0.9649 states/eV per atom
Electronic total energy ... -9.9904 eV/atom
ΔE_f ... 0.36 eV per formula unit
Total magnetization ... 0.00 Bohr magnetons per cell
Theoretical density ... 17.79 g/cm³